DFT (PBE) results for an optimized crystal structure of CsK2SrBr5.

The calculation puts the final energy at -3.305 eV per atom. The formation energy without anion corrections comes out at -16.65 eV per formula unit. Its space group is Immm.

Cell and atoms, written as POSCAR:
```
CsK2SrBr5
1.0
5.834 0.000 0.000
0.000 8.255 0.000
-2.917 -4.128 8.094
Br K Sr Cs
5 2 1 1
Cartesian
0.000 2.071 5.871
2.917 6.198 2.223
0.000 -2.071 5.871
2.917 2.057 2.223
0.000 0.000 0.000
2.917 4.128 4.733
0.000 0.000 3.361
2.917 0.000 0.000
0.000 4.128 0.000
```